Record 1
Below is an optimized crystal structure of Ta5Os4Ru, with properties calculated at the PBE level.

Properties
The calculation puts the formation energy at -0.257 eV/atom. The crystal system is tetragonal. Its mass density is 18.08 g cm⁻³.

Cell lengths 3.058, 3.058, 17.348 Å; angles 90.00, 90.00, 90.00 degrees
Space group P4/mmm (No. 123)
Symmetry-distinct sites (fractional):
Ta: 0.000 0.000 0.000 [1 per cell]
Ta: 0.000 0.000 0.200 [2 per cell]
Ta: 0.000 0.000 0.400 [2 per cell]
Os: 0.500 0.500 0.104 [2 per cell]
Os: 0.500 0.500 0.299 [2 per cell]
Ru: 0.500 0.500 0.500 [1 per cell]

***

Record 2
Below is an optimized crystal structure of TaOs6Ru2, with properties calculated at the PBE level.

Properties
The calculation puts the formation energy at -0.087 eV/atom. The crystal system is triclinic. Its mass density is 19.29 g cm⁻³.

Cell lengths 6.495, 6.509, 7.070 Å; angles 114.84, 94.40, 100.73 degrees
Space group P-1 (No. 2)
Symmetry-distinct sites (fractional):
Ta: 0.148 0.264 0.365 [2 per cell]
Os: 0.037 0.812 0.026 [2 per cell]
Os: 0.070 0.633 0.302 [2 per cell]
Os: 0.269 0.703 0.702 [2 per cell]
Os: 0.294 0.519 0.971 [2 per cell]
Os: 0.369 0.147 0.023 [2 per cell]
Os: 0.415 0.960 0.308 [2 per cell]
Ru: 0.188 0.072 0.640 [2 per cell]
Ru: 0.478 0.594 0.357 [2 per cell]

***

Record 3
Below is an optimized crystal structure of TaOs2Ru5, with properties calculated at the PBE level.

Properties
The calculation puts the formation energy at -0.128 eV/atom. The crystal system is orthorhombic. Its mass density is 15.35 g cm⁻³.

Cell lengths 5.535, 8.780, 9.500 Å; angles 90.00, 90.00, 90.00 degrees
Space group Fmm2 (No. 42)
Symmetry-distinct sites (fractional):
Ta: 0.000 0.000 0.000 [4 per cell]
Os: 0.000 0.245 0.673 [8 per cell]
Ru: 0.000 0.000 0.505 [4 per cell]
Ru: 0.248 0.000 0.251 [8 per cell]
Ru: 0.250 0.250 0.425 [8 per cell]

***

Record 4
Below is an optimized crystal structure of TaOsRu2, with properties calculated at the PBE level.

Properties
The calculation puts the formation energy at -0.017 eV/atom. The crystal system is tetragonal. Its mass density is 15.77 g cm⁻³. The energy above the most stable polymorph in this dataset is 158 meV/atom.

Cell lengths 2.791, 2.791, 7.745 Å; angles 90.00, 90.00, 90.00 degrees
Space group P4/mmm (No. 123)
Symmetry-distinct sites (fractional):
Ta: 0.000 0.000 0.000 [1 per cell]
Os: 0.000 0.000 0.500 [1 per cell]
Ru: 0.500 0.500 0.266 [2 per cell]

***

Record 5
Below is an optimized crystal structure of Ta3OsRu, with properties calculated at the PBE level.

Properties
The calculation puts the formation energy at 1.443 eV/atom. The crystal system is cubic. Its mass density is 13.41 g cm⁻³. The energy above the most stable polymorph in this dataset is 14 meV/atom.

Cell lengths 4.692, 4.692, 4.692 Å; angles 90.00, 90.00, 90.00 degrees
Space group Pm-3m (No. 221)
Symmetry-distinct sites (fractional):
Ta: 0.000 0.000 0.500 [3 per cell]
Os: 0.500 0.500 0.500 [1 per cell]
Ru: 0.000 0.000 0.000 [1 per cell]

***

Record 6
Below is an optimized crystal structure of TaOsRu, with properties calculated at the PBE level.

Properties
The calculation puts the formation energy at -0.059 eV/atom. The crystal system is hexagonal. Its mass density is 16.70 g cm⁻³. The energy above the most stable polymorph in this dataset is 70 meV/atom.

Cell lengths 4.4483, 4.4483, 5.4800 Å; angles 90.00, 90.00, 120.00 degrees
Space group P6_3/mmc (No. 194)
Symmetry-distinct sites (fractional):
Ta: 0.3333 0.6667 0.2500 [2 per cell]
Os: 0.3333 0.6667 0.7500 [2 per cell]
Ru: 0.0000 0.0000 0.0000 [2 per cell]